(1)
Computed, not measured: a relaxed structure of Tb2PmY3S6 at the PBE level of DFT.

POSCAR file:
```
Tb2PmY3S6
1.0
6.8291 -0.0124 -0.0009
-3.4237 5.9089 -0.0009
-1.1368 -1.9684 6.4371
S Tb Pm Y
6 2 1 3
direct
0.7451 0.7451 0.2529 S
0.9151 0.5758 0.7452 S
0.2549 0.2549 0.7471 S
0.5758 0.9151 0.7452 S
0.0849 0.4242 0.2548 S
0.4242 0.0849 0.2548 S
0.3338 0.6662 0.0000 Tb
0.6662 0.3338 0.0000 Tb
0.0000 0.0000 0.0000 Pm
0.5000 0.5000 0.5000 Y
0.8362 0.1638 0.5000 Y
0.1638 0.8362 0.5000 Y
```

Output
formation energy (no corrections): -2.01 eV per atom
crystal system: monoclinic
size of the total moment: 0.000 μB/f.u.



(2)
Computed, not measured: a relaxed structure of Tb3PmY4S8 at the PBE level of DFT.

POSCAR file:
```
Tb3PmY4S8
1.0
-5.6049 -0.4756 -5.5094
2.5730 -7.1706 -1.9985
-1.9455 1.5416 7.4724
S Tb Y Pm
8 3 4 1
direct
0.7462 0.2455 0.9994 S
0.7461 0.2455 0.4923 S
0.2538 0.7545 0.0006 S
0.7468 0.7545 0.0006 S
0.2539 0.7545 0.5077 S
0.2532 0.2455 0.9994 S
0.2497 0.2490 0.4994 S
0.7503 0.7510 0.5006 S
0.5000 0.5000 0.0000 Tb
0.5000 0.5000 0.5000 Tb
0.0000 0.5000 0.5000 Tb
0.0000 0.0000 0.0000 Y
0.5000 0.0000 0.5000 Y
0.5000 0.0000 0.0000 Y
0.0000 0.0000 0.5000 Y
0.0000 0.5000 0.0000 Pm
```

Output
formation energy (no corrections): -2.00 eV per atom
crystal system: trigonal
size of the total moment: 0.000 μB/f.u.



(3)
Computed, not measured: a relaxed structure of Tb3Pm4YS8 at the PBE level of DFT.

POSCAR file:
```
Tb3Pm4YS8
1.0
7.9289 0.0000 0.0000
0.0000 7.9932 0.0399
-3.9644 -3.9602 5.6099
Tb Y S Pm
3 1 8 4
direct
0.0000 0.5000 0.5000 Tb
0.5000 0.5000 0.5000 Tb
0.5000 0.5000 0.0000 Tb
0.0000 0.5000 0.0000 Y
0.2460 0.7387 0.9927 S
0.7540 0.2613 0.5080 S
0.7540 0.2613 0.0073 S
0.7464 0.7391 0.4927 S
0.2460 0.7387 0.4920 S
0.7467 0.7387 0.9927 S
0.2533 0.2613 0.0073 S
0.2536 0.2609 0.5073 S
0.5000 0.0000 0.0000 Pm
0.5000 0.0000 0.5000 Pm
0.0000 0.0000 0.5000 Pm
0.0000 0.0000 0.0000 Pm
```

Output
formation energy (no corrections): -2.02 eV per atom
crystal system: trigonal
size of the total moment: 0.000 μB/f.u.



(4)
Computed, not measured: a relaxed structure of Tb4PmY3S8 at the PBE level of DFT.

POSCAR file:
```
Tb4PmY3S8
1.0
-2.8996 -5.4661 4.8774
7.3184 -1.9616 2.1524
-2.4089 7.4787 0.5856
S Y Tb Pm
8 3 4 1
direct
0.2534 0.7528 0.5069 S
0.2541 0.2472 0.0007 S
0.2503 0.2510 0.5007 S
0.7466 0.2472 0.4931 S
0.7497 0.7490 0.4993 S
0.7459 0.7528 0.9993 S
0.2534 0.7528 0.9993 S
0.7466 0.2472 0.0007 S
0.5000 0.5000 0.5000 Y
0.5000 0.5000 0.0000 Y
0.0000 0.5000 0.5000 Y
0.0000 0.0000 0.0000 Tb
0.5000 0.0000 0.5000 Tb
0.0000 0.0000 0.5000 Tb
0.5000 0.0000 0.0000 Tb
0.0000 0.5000 0.0000 Pm
```

Output
formation energy (no corrections): -2.00 eV per atom
crystal system: trigonal
size of the total moment: 0.000 μB/f.u.